# CaGd2Lu PBE relaxed
# - relative energy among the computed polymorphs (meV/atom) = 0
# - crystal system = tetragonal
# - E_form (eV per atom) = 0.0574
data_CaGd2Lu
_chemical_formula_sum 'Ca1 Gd2 Lu1'
_space_group_name_H-M_alt 'P 4/m m m'
_space_group_IT_number 123
_space_group_name_Hall '-P 4 2'
_cell_length_a 3.6386
_cell_length_b 3.6386
_cell_length_c 10.1761
_cell_angle_alpha 90.00
_cell_angle_beta 90.00
_cell_angle_gamma 90.00
loop_
_atom_site_label
_atom_site_type_symbol
_atom_site_fract_x
_atom_site_fract_y
_atom_site_fract_z
_atom_site_occupancy
Ca1 Ca 0.0000 0.0000 0.0000 1
Gd1 Gd 0.5000 0.5000 0.2735 1
Lu1 Lu 0.0000 0.0000 0.5000 1